Entry 1:
Material: CdInB3
Method: DFT, PBE
State: optimized geometry

## Properties
DOS(E_F), states/eV/cell: 2.3
Volume, A^3/atom: 18.90
Energy above the most stable polymorph in this dataset, meV/atom: 38

Unit cell a=4.5548 b=4.5548 c=4.5548 alpha=90.00 beta=90.00 gamma=90.00
Space group Pm-3m (No. 221)
One atom of each set of equivalent atoms:
Cd: 0.0000 0.0000 0.0000 (multiplicity 1)
In: 0.5000 0.5000 0.5000 (multiplicity 1)
B: 0.0000 0.5000 0.5000 (multiplicity 3)

***

Entry 2:
Material: NdSm2Au3
Method: DFT, PBE
State: optimized geometry

## Properties
DOS(E_F), states/eV/cell: 20.9
Volume, A^3/atom: 27.14
Energy above the most stable polymorph in this dataset, meV/atom: 127

Unit cell a=4.3858 b=22.4783 c=6.6060 alpha=90.00 beta=90.00 gamma=90.00
Space group Cmcm (No. 63)
One atom of each set of equivalent atoms:
Nd: 0.0000 0.1782 0.2500 (multiplicity 4)
Sm: 0.0000 0.3578 0.2500 (multiplicity 4)
Sm: 0.0000 0.4721 0.7500 (multiplicity 4)
Au: 0.0000 0.0671 0.5347 (multiplicity 8)
Au: 0.0000 0.2314 0.7500 (multiplicity 4)

***

Entry 3:
Material: DyUCoS4
Method: DFT, PBE
State: optimized geometry

## Properties
Formation energy (no corrections), eV/f.u.: -9.13
DOS(E_F), states/eV/cell: 11.3
Volume, A^3/atom: 18.74

Unit cell a=6.3051 b=5.6869 c=7.6081 alpha=90.00 beta=105.95 gamma=90.00
Space group P2_1/m (No. 11)
One atom of each set of equivalent atoms:
Dy: 0.2396 0.2500 0.4370 (multiplicity 2)
U: 0.2576 0.2500 0.9442 (multiplicity 2)
Co: 0.2593 0.7500 0.1667 (multiplicity 2)
S: 0.0686 0.7500 0.3753 (multiplicity 2)
S: 0.0700 0.7500 0.8880 (multiplicity 2)
S: 0.4846 0.5085 0.7450 (multiplicity 4)

***

Entry 4:
Material: Sc4Ir2Au
Method: DFT, PBE
State: optimized geometry

## Properties
Electronic total energy, eV for the cell shown: -156.8
DOS(E_F), states/eV/cell: 10.9
Volume, A^3/atom: 19.53

Unit cell a=4.6149 b=4.6149 c=22.2368 alpha=90.00 beta=90.00 gamma=120.00
Space group R-3m (No. 166, hexagonal axes)
One atom of each set of equivalent atoms:
Sc: 0.0000 0.0000 0.1181 (multiplicity 6)
Sc: 0.0000 0.0000 0.3699 (multiplicity 6)
Ir: 0.0000 0.0000 0.2484 (multiplicity 6)
Au: 0.0000 0.0000 0.5000 (multiplicity 3)

***

Entry 5:
Material: AgAsCl2
Method: DFT, PBE
State: optimized geometry

## Properties
Formation energy (no corrections), eV/f.u.: -0.02
DOS(E_F), states/eV/cell: 1.4
Volume, A^3/atom: 22.32
Energy above the most stable polymorph in this dataset, meV/atom: 283

Unit cell a=3.2609 b=4.1606 c=6.7484 alpha=90.00 beta=102.78 gamma=90.00
Space group P2/m (No. 10)
One atom of each set of equivalent atoms:
Ag: 0.0000 0.0000 0.0000 (multiplicity 1)
As: 0.0000 0.0000 0.5000 (multiplicity 1)
Cl: 0.1145 0.5000 0.7501 (multiplicity 2)

***

Entry 6:
Material: IrC
Method: DFT, PBE
State: optimized geometry

## Properties
DOS(E_F), states/eV/cell: 5.5
Volume, A^3/atom: 10.44
Energy above the most stable polymorph in this dataset, meV/atom: 884

Unit cell a=2.8444 b=2.8444 c=8.9360 alpha=90.00 beta=90.00 gamma=120.00
Space group R-3m (No. 166, hexagonal axes)
One atom of each set of equivalent atoms:
Ir: 0.0000 0.0000 0.0000 (multiplicity 3)
C: 0.0000 0.0000 0.5000 (multiplicity 3)

***

Entry 7:
Material: Pr2SmPaSb4
Method: DFT, PBE
State: optimized geometry

## Properties
Formation energy (no corrections), eV/f.u.: -8.04
DOS(E_F), states/eV/cell: 6.7
Volume, A^3/atom: 31.90

Unit cell a=7.7583 b=4.4814 c=7.7794 alpha=90.00 beta=109.33 gamma=90.00
Space group P2/m (No. 10)
One atom of each set of equivalent atoms:
Pr: 0.0000 0.0000 0.0000 (multiplicity 1)
Pr: 0.5000 0.5000 0.0000 (multiplicity 1)
Sm: 0.0000 0.5000 0.5000 (multiplicity 1)
Pa: 0.5000 0.0000 0.5000 (multiplicity 1)
Sb: 0.2518 0.0000 0.7408 (multiplicity 2)
Sb: 0.2570 0.5000 0.2607 (multiplicity 2)

***

Entry 8:
Material: La5Pr2HoEr
Method: DFT, PBE
State: optimized geometry

## Properties
Electronic total energy, eV for the cell shown: -164.0
DOS(E_F), states/eV/cell: 59.4
Volume, A^3/atom: 36.25

Unit cell a=8.6100 b=8.6100 c=17.6039 alpha=90.00 beta=90.00 gamma=90.00
Space group I4/mcm (No. 140)
One atom of each set of equivalent atoms:
La: 0.0000 0.0000 0.0000 (multiplicity 4)
La: 0.2223 0.2777 0.1442 (multiplicity 16)
Pr: 0.1252 0.3748 0.5000 (multiplicity 8)
Ho: 0.0000 0.0000 0.2500 (multiplicity 4)
Er: 0.0000 0.5000 0.2500 (multiplicity 4)

***

Entry 9:
Material: K3Pr2HoO6
Method: DFT, PBE
State: optimized geometry

## Properties
Formation energy (no corrections), eV/f.u.: -31.64
DOS(E_F), states/eV/cell: 0.0
Volume, A^3/atom: 17.77

Unit cell a=6.2490 b=10.8266 c=6.6381 alpha=90.00 beta=108.28 gamma=90.00
Space group C2/m (No. 12)
One atom of each set of equivalent atoms:
K: 0.0000 0.0000 0.0000 (multiplicity 2)
K: 0.0000 0.3364 0.0000 (multiplicity 4)
Pr: 0.0000 0.1668 0.5000 (multiplicity 4)
Ho: 0.0000 0.5000 0.5000 (multiplicity 2)
O: 0.2231 0.3401 0.6896 (multiplicity 8)
O: 0.2431 0.0000 0.6889 (multiplicity 4)

***

Entry 10:
Material: Nd2GdHf
Method: DFT, PBE
State: optimized geometry

## Properties
DOS(E_F), states/eV/cell: 4.7
Volume, A^3/atom: 30.26
Energy above the most stable polymorph in this dataset, meV/atom: 0

Unit cell a=4.9719 b=4.9719 c=4.8971 alpha=90.00 beta=90.00 gamma=90.00
Space group P4/mmm (No. 123)
One atom of each set of equivalent atoms:
Nd: 0.0000 0.5000 0.0000 (multiplicity 2)
Gd: 0.0000 0.0000 0.5000 (multiplicity 1)
Hf: 0.5000 0.5000 0.5000 (multiplicity 1)

***

Entry 11:
Material: Na2ReMo
Method: DFT, PBE
State: optimized geometry

## Properties
DOS(E_F), states/eV/cell: 25.0
Volume, A^3/atom: 20.69
Energy above the most stable polymorph in this dataset, meV/atom: 0

Unit cell a=8.2795 b=8.2795 c=4.8294 alpha=90.00 beta=90.00 gamma=90.00
Space group I-42d (No. 122)
One atom of each set of equivalent atoms:
Na: 0.2434 0.7500 0.1250 (multiplicity 8)
Re: 0.0000 0.0000 0.0000 (multiplicity 4)
Mo: 0.0000 0.0000 0.5000 (multiplicity 4)

***

Entry 12:
Material: CaMnCr2
Method: DFT, PBE
State: optimized geometry

## Properties
DOS(E_F), states/eV/cell: 3.0
Volume, A^3/atom: 18.36
Energy above the most stable polymorph in this dataset, meV/atom: 57

Unit cell a=3.0887 b=3.0887 c=7.6966 alpha=90.00 beta=90.00 gamma=90.00
Space group P4/mmm (No. 123)
One atom of each set of equivalent atoms:
Ca: 0.0000 0.0000 0.0000 (multiplicity 1)
Mn: 0.0000 0.0000 0.5000 (multiplicity 1)
Cr: 0.5000 0.5000 0.3196 (multiplicity 2)

***

Q: Number 9 is which compound?
A: K3Pr2HoO6

***

Q: Which of these has the highest volume?
A: La5Pr2HoEr

***

Q: What is the volume in the third record?
A: 18.74 A^3/atom

***

Q: Look up the DOS(E_F) of the sixth one.
A: 5.5 states/eV/cell